The following is a PBE with a Hubbard U calculation of crystalline K2MnCo2O4 at its relaxed geometry, from Alexandria via LeMat-Bulk.

Cell and atoms, written as POSCAR:
```
K2MnCo2O4
1.0
3.327 0.000 0.000
-1.664 6.723 0.278
0.000 -2.147 5.946
K Co O Mn
2 2 4 1
direct
0.876 0.752 0.478 K
0.124 0.248 0.522 K
0.330 0.659 0.006 Co
0.670 0.341 0.994 Co
0.527 0.054 0.797 O
0.473 0.946 0.203 O
0.783 0.566 0.826 O
0.217 0.434 0.174 O
0.000 0.000 0.000 Mn
```

Results
E_tot = -5.608 eV/atom
Calculated volume = 14.998 A^3/atom